Record 1
ErFe4P12 | the Alexandria database | PBE-GGA | optimized geometry; M_tot = 0.00 μB per formula unit; VASP energy = -113.218 eV per cell; formation energy = -0.5815 eV/atom
1.0
-2.2861 0.6564 -6.2954
-1.9775 -5.9278 2.4980
-2.4595 4.9726 3.8096
Er Fe P
1 4 12
direct
0.0000 0.0000 0.0000 Er
0.0000 0.5000 0.0000 Fe
0.5000 0.0000 0.0000 Fe
0.5000 0.5000 0.5000 Fe
0.0000 0.0000 0.5000 Fe
0.8497 0.3519 0.2015 P
0.3519 0.5022 0.1503 P
0.7985 0.1503 0.6481 P
0.3519 0.2015 0.8497 P
0.2015 0.8497 0.3519 P
0.6481 0.4978 0.8497 P
0.5022 0.1503 0.3519 P
0.4978 0.8497 0.6481 P
0.6481 0.7985 0.1503 P
0.8497 0.6481 0.4978 P
0.1503 0.3519 0.5022 P
0.1503 0.6481 0.7985 P



Record 2
Er2FeP | the Alexandria database | PBE-GGA | optimized geometry; M_tot = 2.31 μB per formula unit; VASP energy = -23.060 eV per cell; formation energy = -0.0154 eV/atom
1.0
-1.7841 0.8521 -3.0449
-2.3224 -2.3733 -1.4678
-7.8574 2.9012 3.2515
P Fe Er
1 1 2
direct
0.5000 0.5000 0.5000 P
0.0000 0.0000 0.0000 Fe
0.1031 0.1031 0.6906 Er
0.8969 0.8969 0.3094 Er



Record 3
ErFe3P3 | the Alexandria database | PBE-GGA | optimized geometry; M_tot = 2.44 μB per formula unit; VASP energy = -97.399 eV per cell; formation energy = -0.3599 eV/atom
1.0
6.0648 0.0000 0.0000
0.0000 6.0648 0.0000
0.0000 0.0000 6.0648
P Fe Er
6 6 2
direct
0.0000 0.2500 0.5000 P
0.0000 0.7500 0.5000 P
0.5000 0.0000 0.7500 P
0.7500 0.5000 0.0000 P
0.5000 0.0000 0.2500 P
0.2500 0.5000 0.0000 P
0.2500 0.0000 0.5000 Fe
0.0000 0.5000 0.2500 Fe
0.5000 0.7500 0.0000 Fe
0.7500 0.0000 0.5000 Fe
0.0000 0.5000 0.7500 Fe
0.5000 0.2500 0.0000 Fe
0.5000 0.5000 0.5000 Er
0.0000 0.0000 0.0000 Er